# 1
Tb3Sn12Pd5 PBE relaxed; formation energy from the elements = -0.132 eV per atom
1.0
-2.326 12.249 -7.150
-12.450 -4.945 5.208
9.101 2.441 10.853
Pd Sn Tb
20 48 12
direct
0.000 0.000 0.000 Pd
0.125 0.750 0.375 Pd
0.125 0.375 0.250 Pd
0.250 0.875 0.125 Pd
0.375 0.125 0.750 Pd
0.000 0.500 0.000 Pd
0.500 0.000 0.000 Pd
0.875 0.250 0.625 Pd
0.625 0.750 0.875 Pd
0.250 0.375 0.625 Pd
0.875 0.625 0.750 Pd
0.375 0.250 0.125 Pd
0.500 0.500 0.000 Pd
0.500 0.000 0.500 Pd
0.625 0.875 0.250 Pd
0.750 0.125 0.875 Pd
0.500 0.500 0.500 Pd
0.000 0.000 0.500 Pd
0.000 0.500 0.500 Pd
0.750 0.625 0.375 Pd
0.106 0.928 0.395 Sn
0.533 0.322 0.928 Sn
0.072 0.178 0.467 Sn
0.605 0.572 0.894 Sn
0.322 0.533 0.428 Sn
0.394 0.105 0.572 Sn
0.928 0.106 0.895 Sn
0.606 0.895 0.428 Sn
0.178 0.072 0.967 Sn
0.967 0.572 0.178 Sn
0.033 0.428 0.822 Sn
0.711 0.606 0.178 Sn
0.789 0.467 0.395 Sn
0.289 0.895 0.967 Sn
0.822 0.894 0.289 Sn
0.072 0.894 0.105 Sn
0.395 0.428 0.106 Sn
0.822 0.928 0.033 Sn
0.033 0.605 0.711 Sn
0.211 0.533 0.605 Sn
0.606 0.711 0.678 Sn
0.289 0.394 0.822 Sn
0.894 0.072 0.605 Sn
0.322 0.789 0.394 Sn
0.678 0.211 0.606 Sn
0.428 0.395 0.606 Sn
0.428 0.033 0.322 Sn
0.572 0.967 0.678 Sn
0.394 0.289 0.322 Sn
0.789 0.322 0.894 Sn
0.467 0.789 0.895 Sn
0.928 0.822 0.533 Sn
0.605 0.033 0.211 Sn
0.467 0.678 0.072 Sn
0.711 0.105 0.033 Sn
0.105 0.711 0.533 Sn
0.967 0.395 0.289 Sn
0.106 0.178 0.211 Sn
0.178 0.106 0.711 Sn
0.105 0.394 0.072 Sn
0.895 0.289 0.467 Sn
0.678 0.467 0.572 Sn
0.894 0.822 0.789 Sn
0.572 0.605 0.394 Sn
0.533 0.211 0.105 Sn
0.895 0.606 0.928 Sn
0.395 0.967 0.789 Sn
0.211 0.678 0.106 Sn
0.250 0.125 0.375 Tb
0.625 0.250 0.375 Tb
0.625 0.375 0.750 Tb
0.375 0.625 0.250 Tb
0.125 0.875 0.750 Tb
0.875 0.750 0.125 Tb
0.375 0.750 0.625 Tb
0.250 0.625 0.875 Tb
0.750 0.875 0.625 Tb
0.875 0.125 0.250 Tb
0.125 0.250 0.875 Tb
0.750 0.375 0.125 Tb

# 2
La2Tb3Pr8 PBE relaxed; formation energy from the elements = 0.194 eV per atom; offset from the most stable computed form = 0.039 eV/atom
1.0
5.735 0.000 0.705
0.000 7.766 0.000
-1.296 -3.883 10.492
Pr La Tb
8 2 3
direct
0.001 0.871 0.742 Pr
0.500 0.193 0.795 Pr
0.500 0.602 0.795 Pr
0.500 0.398 0.205 Pr
0.999 0.129 0.258 Pr
0.500 0.807 0.205 Pr
0.001 0.668 0.337 Pr
0.999 0.332 0.663 Pr
0.502 0.759 0.517 La
0.498 0.241 0.483 La
0.500 0.000 0.000 Tb
0.000 0.716 0.000 Tb
0.000 0.284 0.000 Tb

# 3
Pu6GeRh3 PBE relaxed; formation energy from the elements = -0.213 eV per atom
1.0
-3.843 0.393 -7.684
-4.269 -3.489 -0.575
-4.947 2.500 0.070
Pu Rh Ge
6 3 1
direct
0.303 0.547 0.085 Pu
0.071 0.662 0.662 Pu
0.929 0.338 0.338 Pu
0.697 0.915 0.453 Pu
0.303 0.085 0.547 Pu
0.697 0.453 0.915 Pu
0.325 0.037 0.037 Rh
0.675 0.963 0.963 Rh
0.000 0.000 0.000 Rh
0.500 0.500 0.500 Ge

# 4
CaFeRe PBE relaxed; formation energy from the elements = 0.987 eV per atom; offset from the most stable computed form = 0.555 eV/atom
1.0
-1.651 -3.246 2.222
0.094 -3.951 -1.607
2.574 -2.939 1.714
Re Fe Ca
1 1 1
direct
0.000 0.000 0.000 Re
0.750 0.750 0.750 Fe
0.500 0.500 0.500 Ca

# 5
MgZr3Sc PBE relaxed; formation energy from the elements = 0.993 eV per atom; offset from the most stable computed form = 0.907 eV/atom
1.0
5.089 0.000 0.000
0.000 5.089 0.000
0.000 0.000 5.089
Sc Mg Zr
1 1 3
direct
0.000 0.000 0.000 Sc
0.500 0.500 0.500 Mg
0.000 0.000 0.500 Zr
0.000 0.500 0.000 Zr
0.500 0.000 0.000 Zr

# 6
BaBr2O11 PBE relaxed; total energy = -120.56 eV/cell
1.0
-5.357 4.228 1.556
1.168 -1.869 -6.643
-7.630 -10.235 1.539
O Br Ba
22 4 2
direct
0.333 0.667 0.578 O
0.203 0.791 0.095 O
0.069 0.930 0.750 O
0.412 0.203 0.595 O
0.209 0.412 0.095 O
0.139 0.069 0.250 O
0.931 0.070 0.250 O
0.797 0.209 0.905 O
0.791 0.588 0.905 O
0.070 0.139 0.750 O
0.209 0.412 0.405 O
0.791 0.588 0.595 O
0.667 0.333 0.078 O
0.667 0.333 0.422 O
0.797 0.209 0.595 O
0.412 0.203 0.905 O
0.203 0.791 0.405 O
0.930 0.861 0.250 O
0.861 0.931 0.750 O
0.588 0.797 0.095 O
0.588 0.797 0.405 O
0.333 0.667 0.922 O
0.333 0.667 0.049 Br
0.333 0.667 0.451 Br
0.667 0.333 0.549 Br
0.667 0.333 0.951 Br
0.000 0.000 0.000 Ba
0.000 0.000 0.500 Ba

# 7
Sr2TlZn4Au3 PBE relaxed; formation energy from the elements = -0.421 eV per atom
1.0
4.512 0.000 0.000
0.000 4.512 0.000
0.000 0.000 11.232
Au Sr Zn Tl
3 2 4 1
direct
0.500 0.000 0.874 Au
0.000 0.500 0.126 Au
0.000 0.000 0.500 Au
0.000 0.500 0.760 Sr
0.500 0.000 0.240 Sr
0.000 0.000 0.000 Zn
0.500 0.000 0.645 Zn
0.500 0.500 0.000 Zn
0.000 0.500 0.355 Zn
0.500 0.500 0.500 Tl

# 8
Ho2SeO2 PBE relaxed; total energy = -38.21 eV/cell
1.0
-1.972 -2.859 1.606
3.300 1.157 1.553
-3.381 4.489 3.842
O Ho Se
2 2 1
direct
0.333 0.667 0.626 O
0.667 0.333 0.374 O
0.667 0.333 0.709 Ho
0.333 0.667 0.291 Ho
0.000 0.000 0.000 Se

Here are the calculated V numbers, same order: 2285.56 474.41 211.29 54.92 131.79 545.59 228.68 86.32 (Å³ per cell).